VASP calculation (GGA-PBE) on crystalline GaAsSeBr2 at its relaxed geometry.

Cell: 5.4322 5.4322 5.0417 Å, 90.00 90.00 90.00°
Space group P4/mmm (No. 123)
Unique sites:
Ga1 0.0000 0.0000 0.0000 x1
As1 0.5000 0.5000 0.5000 x1
Se1 0.5000 0.5000 0.0000 x1
Br1 0.0000 0.5000 0.5000 x2

## Properties
energy relative to the elements, uncorrected	-0.085	eV per atom
M_tot	0.00	μB per cell
raw total energy	-0.21947	Ry per atom
DOS(E_F)	1.3	states/eV/f.u.